A plane-wave DFT calculation with GGA-PBE was carried out for a geometry-optimized TcNi5Pt6 structure. Values from VASP.

energy: -76.80 eV per cell
Fermi-level density of states: 18.24 states/eV/cell

Geometry as Quantum ESPRESSO input:
```
&SYSTEM
  ibrav = 0, nat = 12, ntyp = 3
/
ATOMIC_SPECIES
Pt 195.08 Pt.upf
Ni 58.69 Ni.upf
Tc 98.00 Tc.upf
ATOMIC_POSITIONS angstrom
Pt -1.374 -2.232 0.621
Ni -3.140 -3.175 -1.118
Tc 0.000 0.000 0.000
Ni -2.255 -1.129 2.882
Ni -0.464 -3.285 -1.650
Pt -1.768 -0.993 -1.772
Pt -3.563 1.176 2.773
Pt -4.021 -2.072 1.142
Pt -2.223 -4.211 -3.389
Ni -2.619 0.139 0.460
Ni -2.776 -4.442 1.304
Pt -1.832 -5.480 -1.009
CELL_PARAMETERS angstrom
-3.063 1.367 -1.861
-0.928 -6.571 -3.300
-1.404 0.900 6.925
```

***

A plane-wave DFT calculation with GGA-PBE was carried out for a geometry-optimized TcNi7Pt2 structure. Values from VASP.

energy: -59.76 eV per cell
Fermi-level density of states: 17.65 states/eV/cell

Geometry as Quantum ESPRESSO input:
```
&SYSTEM
  ibrav = 0, nat = 10, ntyp = 3
/
ATOMIC_SPECIES
Ni 58.69 Ni.upf
Tc 98.00 Tc.upf
Pt 195.08 Pt.upf
ATOMIC_POSITIONS angstrom
Ni 1.287 5.427 4.664
Ni 1.287 3.094 5.430
Ni 1.287 5.833 2.242
Tc 0.000 0.000 0.000
Pt 1.287 3.497 3.005
Ni 0.000 8.963 7.703
Pt 1.287 7.356 6.322
Ni 1.287 5.020 7.085
Ni 1.287 7.759 3.897
Ni 2.574 1.891 1.625
CELL_PARAMETERS angstrom
2.574 0.000 0.000
0.000 7.939 1.740
0.000 2.914 7.588
```

***

A plane-wave DFT calculation with GGA-PBE was carried out for a geometry-optimized Tc3NiPt structure. Values from VASP.

energy: -31.80 eV per cell
Fermi-level density of states: 11.60 states/eV/cell
relative energy among the computed polymorphs: 887 meV per atom

Geometry as Quantum ESPRESSO input:
```
&SYSTEM
  ibrav = 0, nat = 5, ntyp = 3
/
ATOMIC_SPECIES
Ni 58.69 Ni.upf
Pt 195.08 Pt.upf
Tc 98.00 Tc.upf
ATOMIC_POSITIONS angstrom
Ni 2.352 2.352 2.352
Pt 0.000 0.000 0.000
Tc 0.000 0.000 2.352
Tc 0.000 2.352 0.000
Tc 2.352 0.000 0.000
CELL_PARAMETERS angstrom
4.705 0.000 0.000
0.000 4.705 0.000
0.000 0.000 4.705
```

***

A plane-wave DFT calculation with GGA-PBE was carried out for a geometry-optimized TcNiPt2 structure. Values from VASP.

energy: -28.18 eV per cell
Fermi-level density of states: 5.63 states/eV/cell
relative energy among the computed polymorphs: 164 meV per atom

Geometry as Quantum ESPRESSO input:
```
&SYSTEM
  ibrav = 0, nat = 4, ntyp = 3
/
ATOMIC_SPECIES
Ni 58.69 Ni.upf
Tc 98.00 Tc.upf
Pt 195.08 Pt.upf
ATOMIC_POSITIONS angstrom
Ni 0.000 1.925 1.939
Tc 1.926 0.000 1.939
Pt 0.000 0.000 0.000
Pt 1.926 1.925 0.000
CELL_PARAMETERS angstrom
3.851 0.000 0.000
0.000 3.850 0.000
0.000 0.000 3.878
```

***

A plane-wave DFT calculation with GGA-PBE was carried out for a geometry-optimized Tc2NiPt structure. Values from VASP.

energy: -32.72 eV per cell
Fermi-level density of states: 5.10 states/eV/cell
relative energy among the computed polymorphs: 22 meV per atom

Geometry as Quantum ESPRESSO input:
```
&SYSTEM
  ibrav = 0, nat = 4, ntyp = 3
/
ATOMIC_SPECIES
Ni 58.69 Ni.upf
Tc 98.00 Tc.upf
Pt 195.08 Pt.upf
ATOMIC_POSITIONS angstrom
Ni 4.637 1.381 2.356
Tc 7.034 2.095 3.509
Tc 9.273 2.762 4.620
Pt 2.332 0.695 1.217
CELL_PARAMETERS angstrom
4.672 0.003 -0.009
3.912 2.554 -0.009
0.726 0.216 4.699
```

***

A plane-wave DFT calculation with GGA-PBE was carried out for a geometry-optimized TcNi3Pt2 structure. Values from VASP.

energy: -159.19 eV per cell
Fermi-level density of states: 39.39 states/eV/cell

Geometry as Quantum ESPRESSO input:
```
&SYSTEM
  ibrav = 0, nat = 24, ntyp = 3
/
ATOMIC_SPECIES
Pt 195.08 Pt.upf
Ni 58.69 Ni.upf
Tc 98.00 Tc.upf
ATOMIC_POSITIONS angstrom
Pt 1.491 3.275 3.860
Ni 2.313 9.666 6.107
Tc 0.211 9.535 3.065
Tc 1.323 4.677 6.199
Tc 2.376 12.105 6.604
Ni 0.982 13.316 4.804
Ni -0.780 4.546 3.157
Ni 0.551 0.895 4.461
Pt -0.952 7.135 3.342
Ni 1.709 2.221 6.344
Ni -2.376 13.198 2.307
Pt 2.485 7.077 5.922
Tc -0.843 2.107 2.661
Ni -0.175 11.990 2.920
Ni 3.909 1.013 6.957
Ni 1.249 5.931 3.957
Ni 0.284 8.280 5.308
Pt 3.800 3.665 7.242
Pt 0.912 14.268 7.208
Pt -2.266 10.546 2.023
Pt 0.621 -0.057 2.056
Ni 2.563 5.791 8.166
Ni -1.029 8.420 1.098
Pt 0.043 10.937 5.404
CELL_PARAMETERS angstrom
-2.181 -0.253 1.518
4.681 -0.172 6.695
-0.967 14.636 1.051
```

***

A plane-wave DFT calculation with GGA-PBE was carried out for a geometry-optimized Tc2NiPt structure. Values from VASP.

energy: -31.94 eV per cell
Fermi-level density of states: 6.83 states/eV/cell
relative energy among the computed polymorphs: 218 meV per atom

Geometry as Quantum ESPRESSO input:
```
&SYSTEM
  ibrav = 0, nat = 4, ntyp = 3
/
ATOMIC_SPECIES
Tc 98.00 Tc.upf
Ni 58.69 Ni.upf
Pt 195.08 Pt.upf
ATOMIC_POSITIONS angstrom
Tc 0.000 0.000 2.580
Ni 1.602 1.602 1.387
Pt 1.602 1.602 4.161
Tc 0.000 0.000 0.194
CELL_PARAMETERS angstrom
3.204 0.000 0.000
0.000 3.204 0.000
0.000 0.000 5.548
```

***

A plane-wave DFT calculation with GGA-PBE was carried out for a geometry-optimized TcNiPt6 structure. Values from VASP.

energy: -53.11 eV per cell
Fermi-level density of states: 11.43 states/eV/cell

Geometry as Quantum ESPRESSO input:
```
&SYSTEM
  ibrav = 0, nat = 8, ntyp = 3
/
ATOMIC_SPECIES
Pt 195.08 Pt.upf
Ni 58.69 Ni.upf
Tc 98.00 Tc.upf
ATOMIC_POSITIONS angstrom
Pt 1.664 0.330 5.926
Pt -2.425 -0.162 1.340
Ni 0.000 0.000 0.000
Pt -0.535 -0.799 4.684
Tc 1.890 -0.637 3.344
Pt -0.309 -1.766 2.102
Pt 1.584 -2.403 5.451
Pt -0.229 0.968 2.577
CELL_PARAMETERS angstrom
-2.345 2.571 1.815
-2.505 -2.895 0.865
3.780 -1.273 6.688
```

***

A plane-wave DFT calculation with GGA-PBE was carried out for a geometry-optimized Tc2NiPt structure. Values from VASP.

energy: -32.69 eV per cell
Fermi-level density of states: 5.23 states/eV/cell
relative energy among the computed polymorphs: 31 meV per atom

Geometry as Quantum ESPRESSO input:
```
&SYSTEM
  ibrav = 0, nat = 4, ntyp = 3
/
ATOMIC_SPECIES
Tc 98.00 Tc.upf
Pt 195.08 Pt.upf
Ni 58.69 Ni.upf
ATOMIC_POSITIONS angstrom
Tc -0.988 -4.199 4.937
Pt -2.986 -12.694 14.928
Tc -3.954 -16.810 19.768
Ni -1.991 -8.465 9.955
CELL_PARAMETERS angstrom
-2.462 -4.696 7.171
-1.667 -6.756 5.579
0.162 -5.415 7.085
```

***

A plane-wave DFT calculation with GGA-PBE was carried out for a geometry-optimized TcNiPt2 structure. Values from VASP.

energy: -28.74 eV per cell
Fermi-level density of states: 5.45 states/eV/cell
relative energy among the computed polymorphs: 26 meV per atom

Geometry as Quantum ESPRESSO input:
```
&SYSTEM
  ibrav = 0, nat = 4, ntyp = 3
/
ATOMIC_SPECIES
Pt 195.08 Pt.upf
Tc 98.00 Tc.upf
Ni 58.69 Ni.upf
ATOMIC_POSITIONS angstrom
Pt 0.000 0.000 5.364
Tc 1.370 1.929 1.343
Ni 1.370 1.929 4.029
Pt 0.000 0.000 2.694
CELL_PARAMETERS angstrom
2.740 0.000 0.000
0.000 3.859 0.000
0.000 0.000 5.372
```

***

A plane-wave DFT calculation with GGA-PBE was carried out for a geometry-optimized TcNiPt2 structure. Values from VASP.

energy: -27.62 eV per cell
Fermi-level density of states: 5.77 states/eV/cell
relative energy among the computed polymorphs: 306 meV per atom

Geometry as Quantum ESPRESSO input:
```
&SYSTEM
  ibrav = 0, nat = 4, ntyp = 3
/
ATOMIC_SPECIES
Tc 98.00 Tc.upf
Ni 58.69 Ni.upf
Pt 195.08 Pt.upf
ATOMIC_POSITIONS angstrom
Tc -2.739 3.401 3.083
Ni 0.000 0.000 0.000
Pt -4.109 5.102 4.624
Pt -1.370 1.701 1.541
CELL_PARAMETERS angstrom
-0.731 1.292 4.105
-0.758 4.212 0.860
-3.990 1.299 1.201
```

***

A plane-wave DFT calculation with GGA-PBE was carried out for a geometry-optimized Tc2NiPt structure. Values from VASP.

energy: -32.62 eV per cell
Fermi-level density of states: 4.21 states/eV/cell
relative energy among the computed polymorphs: 48 meV per atom

Geometry as Quantum ESPRESSO input:
```
&SYSTEM
  ibrav = 0, nat = 4, ntyp = 3
/
ATOMIC_SPECIES
Pt 195.08 Pt.upf
Ni 58.69 Ni.upf
Tc 98.00 Tc.upf
ATOMIC_POSITIONS angstrom
Pt 1.334 1.336 5.829
Ni 1.334 1.336 1.943
Tc 0.000 0.000 0.133
Tc 0.000 0.000 3.753
CELL_PARAMETERS angstrom
2.670 0.002 0.000
-0.002 2.670 0.000
0.000 0.000 7.772
```

***

A plane-wave DFT calculation with GGA-PBE was carried out for a geometry-optimized TcNi14Pt structure. Values from VASP.

energy: -97.08 eV per cell
Fermi-level density of states: 28.66 states/eV/cell

Geometry as Quantum ESPRESSO input:
```
&SYSTEM
  ibrav = 0, nat = 16, ntyp = 3
/
ATOMIC_SPECIES
Ni 58.69 Ni.upf
Pt 195.08 Pt.upf
Tc 98.00 Tc.upf
ATOMIC_POSITIONS angstrom
Ni -2.491 -4.060 0.923
Pt -0.906 -3.441 -1.005
Ni -6.116 -1.485 -1.386
Ni -2.810 -2.135 -2.139
Ni -5.797 -3.410 1.676
Ni -6.455 -3.948 -0.746
Ni -5.458 -0.946 1.037
Ni -4.618 -0.871 -3.257
Ni -4.953 -3.304 -2.625
Ni -0.571 -1.007 -1.637
Tc -1.221 -1.539 -4.031
Ni -2.152 -1.597 0.284
Ni -4.303 -2.773 -0.231
Ni -3.149 -4.599 -1.500
Ni -1.556 -3.972 -3.399
Ni -3.968 -0.339 -0.863
CELL_PARAMETERS angstrom
-1.300 -1.064 -4.787
-0.670 -4.867 1.263
-6.794 1.337 1.548
```

***

A plane-wave DFT calculation with GGA-PBE was carried out for a geometry-optimized TcNiPt structure. Values from VASP.

energy: -22.19 eV per cell
Fermi-level density of states: 4.53 states/eV/cell
relative energy among the computed polymorphs: 112 meV per atom

Geometry as Quantum ESPRESSO input:
```
&SYSTEM
  ibrav = 0, nat = 3, ntyp = 3
/
ATOMIC_SPECIES
Tc 98.00 Tc.upf
Ni 58.69 Ni.upf
Pt 195.08 Pt.upf
ATOMIC_POSITIONS angstrom
Tc -1.093 -4.558 0.379
Ni -2.507 -5.472 2.292
Pt -1.639 -1.997 -0.573
CELL_PARAMETERS angstrom
-2.252 0.418 -1.465
2.075 -1.397 -1.066
-2.531 -5.524 2.314
```

***

A plane-wave DFT calculation with GGA-PBE was carried out for a geometry-optimized TcNiPt4 structure. Values from VASP.

energy: -41.18 eV per cell
Fermi-level density of states: 7.17 states/eV/cell
relative energy among the computed polymorphs: 0 meV per atom

Geometry as Quantum ESPRESSO input:
```
&SYSTEM
  ibrav = 0, nat = 6, ntyp = 3
/
ATOMIC_SPECIES
Pt 195.08 Pt.upf
Ni 58.69 Ni.upf
Tc 98.00 Tc.upf
ATOMIC_POSITIONS angstrom
Pt -8.966 0.441 4.532
Pt -3.124 0.614 2.264
Pt -6.191 1.216 4.485
Pt -2.501 -0.829 -0.152
Ni 0.000 0.000 0.000
Tc -5.733 -0.194 2.190
CELL_PARAMETERS angstrom
-1.532 0.462 -2.240
-0.619 -2.679 -0.129
-9.315 1.829 6.749
```

***

A plane-wave DFT calculation with GGA-PBE was carried out for a geometry-optimized TcNi3Pt12 structure. Values from VASP.

energy: -101.40 eV per cell
Fermi-level density of states: 27.30 states/eV/cell

Geometry as Quantum ESPRESSO input:
```
&SYSTEM
  ibrav = 0, nat = 16, ntyp = 3
/
ATOMIC_SPECIES
Pt 195.08 Pt.upf
Ni 58.69 Ni.upf
Tc 98.00 Tc.upf
ATOMIC_POSITIONS angstrom
Pt 13.032 3.920 1.970
Pt 5.977 0.761 1.339
Ni 10.584 4.740 0.947
Pt 10.769 3.854 3.554
Pt 3.733 0.703 2.924
Pt 8.358 4.691 2.535
Pt 0.167 -0.894 2.605
Pt 7.251 2.278 3.239
Pt 11.898 6.276 2.852
Pt 4.843 3.117 2.220
Ni 7.084 3.173 0.634
Tc 0.000 0.000 0.000
Pt 9.492 2.335 1.653
Pt 1.303 1.531 1.903
Ni 3.584 1.605 0.321
Pt 2.437 -0.825 1.022
CELL_PARAMETERS angstrom
-0.967 1.462 3.487
1.302 -3.250 1.723
14.167 6.346 1.268
```

***

A plane-wave DFT calculation with GGA-PBE was carried out for a geometry-optimized TcNiPt4 structure. Values from VASP.

energy: -37.98 eV per cell
Fermi-level density of states: 9.06 states/eV/cell
relative energy among the computed polymorphs: 533 meV per atom

Geometry as Quantum ESPRESSO input:
```
&SYSTEM
  ibrav = 0, nat = 6, ntyp = 3
/
ATOMIC_SPECIES
Pt 195.08 Pt.upf
Ni 58.69 Ni.upf
Tc 98.00 Tc.upf
ATOMIC_POSITIONS angstrom
Pt 0.159 -5.517 4.402
Pt -0.218 -4.251 2.159
Pt 0.681 -6.694 2.139
Ni 0.000 0.000 0.000
Tc -0.436 -8.506 4.321
Pt -1.786 -6.221 2.821
CELL_PARAMETERS angstrom
0.753 -2.529 4.479
-3.131 -3.934 1.322
1.796 -4.878 -0.040
```

***

A plane-wave DFT calculation with GGA-PBE was carried out for a geometry-optimized TcNiPt2 structure. Values from VASP.

energy: -28.68 eV per cell
Fermi-level density of states: 4.19 states/eV/cell
relative energy among the computed polymorphs: 39 meV per atom

Geometry as Quantum ESPRESSO input:
```
&SYSTEM
  ibrav = 0, nat = 4, ntyp = 3
/
ATOMIC_SPECIES
Pt 195.08 Pt.upf
Ni 58.69 Ni.upf
Tc 98.00 Tc.upf
ATOMIC_POSITIONS angstrom
Pt 8.571 2.595 0.077
Ni 2.325 0.704 1.182
Pt 7.028 2.128 3.416
Tc 4.707 1.425 2.336
CELL_PARAMETERS angstrom
4.688 -0.001 0.000
3.900 2.601 0.000
0.773 0.234 4.673
```

***

A plane-wave DFT calculation with GGA-PBE was carried out for a geometry-optimized TcNiPt2 structure. Values from VASP.

energy: -28.72 eV per cell
Fermi-level density of states: 2.74 states/eV/cell
relative energy among the computed polymorphs: 30 meV per atom

Geometry as Quantum ESPRESSO input:
```
&SYSTEM
  ibrav = 0, nat = 4, ntyp = 3
/
ATOMIC_SPECIES
Pt 195.08 Pt.upf
Ni 58.69 Ni.upf
Tc 98.00 Tc.upf
ATOMIC_POSITIONS angstrom
Pt 0.000 0.000 7.525
Pt 1.359 1.359 2.003
Ni 1.359 1.359 5.677
Tc 0.000 0.000 3.964
CELL_PARAMETERS angstrom
2.718 0.000 0.000
0.000 2.718 0.000
0.000 0.000 7.667
```

***

A plane-wave DFT calculation with GGA-PBE was carried out for a geometry-optimized TcNiPt2 structure. Values from VASP.

energy: -28.57 eV per cell
Fermi-level density of states: 3.79 states/eV/cell
relative energy among the computed polymorphs: 67 meV per atom

Geometry as Quantum ESPRESSO input:
```
&SYSTEM
  ibrav = 0, nat = 4, ntyp = 3
/
ATOMIC_SPECIES
Ni 58.69 Ni.upf
Pt 195.08 Pt.upf
Tc 98.00 Tc.upf
ATOMIC_POSITIONS angstrom
Ni 2.371 -0.001 1.350
Pt 0.836 2.219 1.350
Tc 3.207 2.218 0.000
Pt 0.000 0.000 0.000
CELL_PARAMETERS angstrom
4.743 -0.002 0.000
1.672 4.438 0.000
-3.207 -2.218 2.699
```

***

Number 1: magnetic moment 2.7 μB/cell. Number 2: magnetic moment 2.7 μB/cell. Number 3: magnetic moment 1.3 μB/cell. Number 4: magnetic moment 1.8 μB/cell. Number 5: magnetic moment 0.0 μB/cell. Number 6: magnetic moment 0.0 μB/cell. Number 7: magnetic moment 0.0 μB/cell. Number 8: magnetic moment 1.2 μB/cell. Number 9: magnetic moment 0.0 μB/cell. Number 10: magnetic moment 0.0 μB/cell. Number 11: magnetic moment 1.9 μB/cell. Number 12: magnetic moment 0.0 μB/cell. Number 13: magnetic moment 6.0 μB/cell. Number 14: magnetic moment 0.0 μB/cell. Number 15: magnetic moment 1.1 μB/cell. Number 16: magnetic moment 3.7 μB/cell. Number 17: magnetic moment 4.0 μB/cell. Number 18: magnetic moment 0.0 μB/cell. Number 19: magnetic moment 0.0 μB/cell. Number 20: magnetic moment 0.0 μB/cell.